(1)
LaPtS2N: single point on PBEsol structure, SCAN.

For the energy, the calculation gives -29.129 eV per atom. For the energy above the most stable polymorph in this dataset, the calculation gives 0 meV/atom.

It has space group P4/mmm (No. 123), with a = 4.903 Å, b = 4.903 Å, c = 3.759 Å, α = 90.00°, β = 90.00° and γ = 90.00°. The inequivalent atoms are La at (0.000, 0.000, 0.000), Pt at (0.500, 0.500, 0.500), S at (0.000, 0.500, 0.500) and N at (0.500, 0.500, 0.000).

=====

(2)
LaTePtN2: single point on PBEsol structure, SCAN.

For the energy, the calculation gives -33.409 eV per atom.

It has space group P4/mmm (No. 123), with a = 4.237 Å, b = 4.237 Å, c = 5.180 Å, α = 90.00°, β = 90.00° and γ = 90.00°. The inequivalent atoms are La at (0.000, 0.000, 0.000), Te at (0.500, 0.500, 0.000), Pt at (0.500, 0.500, 0.500) and N at (0.000, 0.500, 0.500).

=====

(3)
LaReN3: single point on PBEsol structure, SCAN.

For the energy, the calculation gives -29.261 eV per atom.

It has space group P2_1/c (No. 14), with a = 6.997 Å, b = 5.316 Å, c = 11.143 Å, α = 90.00°, β = 120.82° and γ = 90.00°. The inequivalent atoms are La at (0.224, 0.209, 0.336), Re at (0.094, 0.720, 0.007), N at (0.035, 0.521, 0.619), N at (0.091, 0.504, 0.153) and N at (0.362, 0.693, 0.030).

=====

(4)
LaReN3: single point on PBEsol structure, SCAN.

For the energy, the calculation gives -29.315 eV per atom.

It has space group R-3c (No. 167, hexagonal axes), with a = 5.5686 Å, b = 5.5686 Å, c = 13.5433 Å, α = 90.00°, β = 90.00° and γ = 120.00°. The inequivalent atoms are La at (0.0000, 0.0000, 0.2500), Re at (0.0000, 0.0000, 0.0000) and N at (0.0000, 0.4619, 0.2500).

=====

(5)
LaReN3: single point on PBEsol structure, SCAN.

For the energy, the calculation gives -29.312 eV per atom.

It has space group Pm-3m (No. 221), with a = 3.931 Å, b = 3.931 Å, c = 3.931 Å, α = 90.00°, β = 90.00° and γ = 90.00°. The inequivalent atoms are La at (0.000, 0.000, 0.000), Re at (0.500, 0.500, 0.500) and N at (0.000, 0.500, 0.500).

=====

(6)
LaScReN2: single point on PBEsol structure, SCAN.

For the energy, the calculation gives -28.610 eV per atom.

It has space group P4/mmm (No. 123), with a = 4.197 Å, b = 4.197 Å, c = 4.876 Å, α = 90.00°, β = 90.00° and γ = 90.00°. The inequivalent atoms are La at (0.000, 0.000, 0.000), Sc at (0.500, 0.500, 0.500), Re at (0.500, 0.500, 0.000) and N at (0.000, 0.500, 0.500).

=====

(7)
LaRhSN2: single point on PBEsol structure, SCAN.

For the energy, the calculation gives -21.307 eV per atom.

It has space group P4/mmm (No. 123), with a = 3.962 Å, b = 3.962 Å, c = 4.684 Å, α = 90.00°, β = 90.00° and γ = 90.00°. The inequivalent atoms are La at (0.000, 0.000, 0.000), Rh at (0.500, 0.500, 0.500), S at (0.500, 0.500, 0.000) and N at (0.000, 0.500, 0.500).

=====

(8)
LaRhSeN2: single point on PBEsol structure, SCAN.

For the energy, the calculation gives -23.242 eV per atom.

It has space group P4/mmm (No. 123), with a = 4.027 Å, b = 4.027 Å, c = 4.869 Å, α = 90.00°, β = 90.00° and γ = 90.00°. The inequivalent atoms are La at (0.000, 0.000, 0.000), Rh at (0.500, 0.500, 0.500), Se at (0.500, 0.500, 0.000) and N at (0.000, 0.500, 0.500).